A geometry-optimized CdW2O2 structure, computed with PBE with a Hubbard U.

Unit cell a=7.7331 b=7.7331 c=2.7561 alpha=90.00 beta=90.00 gamma=90.00
Each line ends with the local moment (μB).
Element x y z (fractional)
O 0.8911 0.3911 0.5000  -0.02
O 0.6089 0.8911 0.5000  -0.02
O 0.3911 0.1089 0.5000  -0.02
O 0.1089 0.6089 0.5000  -0.02
W 0.3833 0.8833 0.0000  0.60
W 0.8833 0.6167 0.0000  0.60
W 0.6167 0.1167 0.0000  0.60
W 0.1167 0.3833 0.0000  0.60
Cd 0.5000 0.5000 0.0000  0.00
Cd 0.0000 0.0000 0.0000  0.00

## Properties
Final energy ... -22.94 eV per formula unit
ρ ... 10.32 g/cm3